No. 1
CrPIr2 after structural relaxation, computed with PBE.

Values from the calculation:
* formation energy from the elements: 0.065 eV per atom
* SG: I-4m2
* spin magnetization: 0.381 μB per atom
* electronic total energy: -8.124 eV/atom

a b c (Å): 4.640 4.640 4.640
angles (deg): 132.04 132.04 70.17
Site moments in Bohr magnetons follow the coordinates.
Fractional positions:
Cr 0.750 0.250 0.500  1.86
Ir 0.250 0.750 0.500  -0.14
P 0.500 0.500 0.000  -0.04
Ir 0.000 0.000 0.000  -0.24

No. 2
Cr4PIr after structural relaxation, computed with PBE.

Values from the calculation:
* formation energy from the elements: 0.275 eV per atom
* SG: F-43m
* spin magnetization: 0.000 μB per atom
* electronic total energy: -8.519 eV/atom

a b c (Å): 4.712 4.712 4.712
angles (deg): 60.00 60.00 60.00
Fractional positions:
Cr 0.373 0.373 0.373
Ir 0.750 0.750 0.750
Cr 0.882 0.373 0.373
P 0.000 0.000 0.000
Cr 0.373 0.882 0.373
Cr 0.373 0.373 0.882

No. 3
CrPIr after structural relaxation, computed with PBE.

Values from the calculation:
* formation energy from the elements: -0.196 eV per atom
* SG: I4mm
* spin magnetization: 0.000 μB per atom
* electronic total energy: -8.160 eV/atom

a b c (Å): 5.082 5.082 2.836
angles (deg): 73.80 73.80 32.41
Fractional positions:
P 0.652 0.652 0.348
Ir 0.325 0.325 0.675
Cr 0.022 0.022 0.978

No. 4
Cr2PIr after structural relaxation, computed with PBE.

Values from the calculation:
* formation energy from the elements: 0.239 eV per atom
* SG: Cmm2
* spin magnetization: 0.000 μB per atom
* electronic total energy: -8.141 eV/atom

a b c (Å): 2.682 2.682 7.807
angles (deg): 90.00 90.00 113.49
Fractional positions:
P 0.500 0.500 0.765
Ir 0.000 0.000 0.507
Cr 0.000 0.000 0.995
Cr 0.500 0.500 0.233

No. 5
CrPIr after structural relaxation, computed with PBE.

Values from the calculation:
* formation energy from the elements: -0.289 eV per atom
* SG: Cm
* spin magnetization: 0.000 μB per atom
* electronic total energy: -8.254 eV/atom

a b c (Å): 6.227 4.036 6.616
angles (deg): 90.00 106.24 90.00
Fractional positions:
Cr 0.790 0.500 0.761
Cr 0.957 0.000 0.988
P 0.817 0.500 0.115
Ir 0.221 0.500 0.901
Ir 0.520 0.000 0.806
P 0.817 0.000 0.615
Cr 0.790 0.000 0.261
Cr 0.957 0.500 0.488
P 0.354 0.000 0.099
Ir 0.221 0.000 0.401
Ir 0.520 0.500 0.306
P 0.354 0.500 0.599

No. 6
CrPIr2 after structural relaxation, computed with PBE.

Values from the calculation:
* formation energy from the elements: 0.112 eV per atom
* SG: Pmmm
* spin magnetization: 0.341 μB per atom
* electronic total energy: -8.077 eV/atom

a b c (Å): 2.749 4.566 4.389
angles (deg): 90.00 90.00 90.00
Site moments in Bohr magnetons follow the coordinates.
Fractional positions:
Ir 0.000 0.000 0.000  -0.10
Ir 0.500 0.500 0.000  -0.09
P 0.500 0.000 0.500  -0.07
Cr 0.000 0.500 0.500  1.58

Question: Which formula does entry 4 have?
Answer: Cr2PIr

Question: Look up the spin magnetization of the third one.
Answer: 0.000 μB per atom

Copy entry 2 word for word.
Cr4PIr after structural relaxation, computed with PBE.

Values from the calculation:
* formation energy from the elements: 0.275 eV per atom
* SG: F-43m
* spin magnetization: 0.000 μB per atom
* electronic total energy: -8.519 eV/atom

a b c (Å): 4.712 4.712 4.712
angles (deg): 60.00 60.00 60.00
Fractional positions:
Cr 0.373 0.373 0.373
Ir 0.750 0.750 0.750
Cr 0.882 0.373 0.373
P 0.000 0.000 0.000
Cr 0.373 0.882 0.373
Cr 0.373 0.373 0.882

Question: Among the records above, which one has the lowest electronic total energy?
Answer: Cr4PIr